# Cs2TcAuBr6 (PBE, optimized geometry)
data_Cs2TcAuBr6
_symmetry_space_group_name_H-M 'F m -3 m'
_symmetry_Int_Tables_number 225
_symmetry_space_group_name_Hall '-F 4 2 3'
_cell_length_a 10.9165
_cell_length_b 10.9165
_cell_length_c 10.9165
_cell_angle_alpha 90.00
_cell_angle_beta 90.00
_cell_angle_gamma 90.00
loop_
_atom_site_label
_atom_site_fract_x
_atom_site_fract_y
_atom_site_fract_z
_atom_site_occupancy
Cs1 0.2500 0.2500 0.2500 1
Tc1 0.0000 0.0000 0.0000 1
Au1 0.0000 0.0000 0.5000 1
Br1 0.0000 0.0000 0.2384 1
# - theoretical density (g cm⁻³) = 5.31
# - energy (eV/atom) = -3.357